[1]
{"formula": "V3PdSe", "functional": "PBE-GGA", "state": "optimized geometry", "cell": [[4.477, 0.000, 0.000], [0.000, 4.477, 0.000], [0.000, 0.000, 4.477]], "species": ["V", "V", "V", "Pd", "Se"], "fractional_positions": [[0.000, 0.000, 0.500], [0.000, 0.500, 0.000], [0.500, 0.000, 0.000], [0.500, 0.500, 0.500], [0.000, 0.000, 0.000]], "e_above_lowest_polymorph_ev_per_atom": 0.000, "magnetic_moment_mub_per_cell": 3.751, "volume_a3_per_fu": 89.7, "raw_formation_energy_mev_per_atom": 617, "space_group": "Pm-3m"}

=====

[2]
{"formula": "V2PdSe5", "functional": "PBE-GGA", "state": "optimized geometry", "cell": [[0.000, 6.150, 6.537], [2.321, 0.000, 6.537], [2.321, 6.150, 0.000]], "species": ["V", "V", "Pd", "Se", "Se", "Se", "Se", "Se"], "fractional_positions": [[0.188, 0.188, 0.812], [0.812, 0.812, 0.188], [0.500, 0.500, 0.500], [0.000, 0.000, 0.000], [0.208, 0.460, 0.540], [0.460, 0.208, 0.792], [0.540, 0.792, 0.208], [0.792, 0.540, 0.460]], "magnetic_moment_mub_per_cell": 0.000, "volume_a3_per_fu": 186.6, "raw_formation_energy_mev_per_atom": -308, "space_group": "Fmmm"}

=====

[3]
{"formula": "V3PdSe", "functional": "PBE-GGA", "state": "optimized geometry", "cell": [[4.732, 0.000, 0.000], [0.000, 4.732, 0.000], [0.000, 0.000, 4.732]], "species": ["V", "V", "V", "Pd", "Se"], "fractional_positions": [[0.000, 0.000, 0.500], [0.000, 0.500, 0.000], [0.500, 0.000, 0.000], [0.000, 0.000, 0.000], [0.500, 0.500, 0.500]], "e_above_lowest_polymorph_ev_per_atom": 0.463, "magnetic_moment_mub_per_cell": 5.978, "volume_a3_per_fu": 105.9, "raw_formation_energy_mev_per_atom": 1080, "space_group": "Pm-3m"}

=====

[4]
{"formula": "V4PdSe8", "functional": "PBE-GGA", "state": "optimized geometry", "cell": [[0.000, 5.134, 5.134], [5.134, 0.000, 5.134], [5.134, 5.134, 0.000]], "species": ["V", "V", "V", "V", "Pd", "Se", "Se", "Se", "Se", "Se", "Se", "Se", "Se"], "fractional_positions": [[0.391, 0.391, 0.391], [0.391, 0.391, 0.826], [0.391, 0.826, 0.391], [0.826, 0.391, 0.391], [0.000, 0.000, 0.000], [0.112, 0.629, 0.629], [0.139, 0.139, 0.139], [0.139, 0.139, 0.583], [0.139, 0.583, 0.139], [0.583, 0.139, 0.139], [0.629, 0.112, 0.629], [0.629, 0.629, 0.112], [0.629, 0.629, 0.629]], "magnetic_moment_mub_per_cell": 5.981, "volume_a3_per_fu": 270.6, "raw_formation_energy_mev_per_atom": -619, "space_group": "F-43m"}

=====

[5]
{"formula": "VPdSe", "functional": "PBE-GGA", "state": "optimized geometry", "cell": [[7.384, 0.000, 0.000], [0.000, 4.730, 0.000], [-2.197, 0.000, 6.134]], "species": ["V", "V", "V", "V", "Pd", "Pd", "Pd", "Pd", "Se", "Se", "Se", "Se"], "fractional_positions": [[0.213, 0.067, 0.222], [0.213, 0.433, 0.722], [0.787, 0.567, 0.278], [0.787, 0.933, 0.778], [0.407, 0.574, 0.139], [0.407, 0.926, 0.639], [0.593, 0.074, 0.361], [0.593, 0.426, 0.861], [0.158, 0.559, 0.337], [0.158, 0.941, 0.837], [0.842, 0.059, 0.163], [0.842, 0.441, 0.663]], "e_above_lowest_polymorph_ev_per_atom": 0.000, "magnetic_moment_mub_per_cell": 8.149, "volume_a3_per_fu": 53.6, "raw_formation_energy_mev_per_atom": -232, "space_group": "P2_1/c"}

=====

[6]
{"formula": "VPd2Se6", "functional": "PBE-GGA", "state": "optimized geometry", "cell": [[5.822, 0.000, 0.000], [0.000, 5.822, 0.000], [0.000, 0.000, 11.668]], "species": ["V", "V", "Pd", "Pd", "Pd", "Pd", "Se", "Se", "Se", "Se", "Se", "Se", "Se", "Se", "Se", "Se", "Se", "Se"], "fractional_positions": [[0.000, 0.000, 0.000], [0.500, 0.500, 0.500], [0.000, 0.000, 0.333], [0.000, 0.000, 0.667], [0.500, 0.500, 0.167], [0.500, 0.500, 0.833], [0.190, 0.190, 0.160], [0.190, 0.190, 0.840], [0.196, 0.196, 0.500], [0.304, 0.696, 0.000], [0.310, 0.690, 0.340], [0.310, 0.690, 0.660], [0.690, 0.310, 0.340], [0.690, 0.310, 0.660], [0.696, 0.304, 0.000], [0.804, 0.804, 0.500], [0.810, 0.810, 0.160], [0.810, 0.810, 0.840]], "e_above_lowest_polymorph_ev_per_atom": 0.147, "magnetic_moment_mub_per_cell": 0.284, "volume_a3_per_fu": 197.8, "raw_formation_energy_mev_per_atom": -207, "space_group": "P4_2/mnm"}

=====

[7]
{"formula": "V2PdSe4", "functional": "PBE-GGA", "state": "optimized geometry", "cell": [[-4.104, 4.104, 2.999], [4.104, -4.104, 2.999], [4.104, 4.104, -2.999]], "species": ["V", "V", "Pd", "Se", "Se", "Se", "Se"], "fractional_positions": [[0.250, 0.750, 0.500], [0.750, 0.250, 0.500], [0.000, 0.000, 0.000], [0.091, 0.296, 0.386], [0.296, 0.909, 0.205], [0.704, 0.091, 0.795], [0.909, 0.704, 0.614]], "magnetic_moment_mub_per_cell": 2.170, "volume_a3_per_fu": 202.0, "raw_formation_energy_mev_per_atom": -422, "space_group": "I4/m"}

=====

[8]
{"formula": "VPd2Se5", "functional": "PBE-GGA", "state": "optimized geometry", "cell": [[2.517, -6.277, 0.000], [2.517, 6.277, 0.000], [0.000, 0.000, 12.032]], "species": ["V", "V", "Pd", "Pd", "Pd", "Pd", "Se", "Se", "Se", "Se", "Se", "Se", "Se", "Se", "Se", "Se"], "fractional_positions": [[0.194, 0.806, 0.750], [0.806, 0.194, 0.250], [0.146, 0.854, 0.067], [0.146, 0.854, 0.433], [0.854, 0.146, 0.567], [0.854, 0.146, 0.933], [0.055, 0.945, 0.619], [0.055, 0.945, 0.881], [0.249, 0.751, 0.250], [0.309, 0.691, 0.569], [0.309, 0.691, 0.931], [0.691, 0.309, 0.069], [0.691, 0.309, 0.431], [0.751, 0.249, 0.750], [0.945, 0.055, 0.119], [0.945, 0.055, 0.381]], "magnetic_moment_mub_per_cell": 1.926, "volume_a3_per_fu": 190.1, "raw_formation_energy_mev_per_atom": -278, "space_group": "Cmcm"}